Run w
MnBe2Ir | PBE-GGA | relaxed

space-group type: No. 216
density: 9.99 g/cm³
Fermi-level density of states: 0.92 states/eV per atom

a b c (Å): 3.965 3.965 3.965
angles (deg): 60.00 60.00 60.00
Element x y z (fractional)
Mn 0.000 0.000 0.000
Be 0.250 0.250 0.250
Be 0.500 0.500 0.500
Ir 0.750 0.750 0.750



Run x
MnBe2Ir | PBE-GGA | relaxed

space-group type: No. 35
density: 9.55 g/cm³
Fermi-level density of states: 0.83 states/eV per atom

a b c (Å): 2.580 2.580 7.719
angles (deg): 90.00 90.00 116.08
Element x y z (fractional)
Mn 0.000 0.000 0.000
Be 0.000 0.000 0.530
Be 0.500 0.500 0.763
Ir 0.500 0.500 0.287



Relative energies, unit kJ/mol of atoms: run w 0.0; run x 32.8



Run w
MnBe2Ir | PBE-GGA | relaxed

space-group type: No. 225
density: 10.34 g/cm³
Fermi-level density of states: 0.32 states/eV per atom

a b c (Å): 3.920 3.920 3.920
angles (deg): 60.00 60.00 60.00
Element x y z (fractional)
Mn 0.000 0.000 0.000
Be 0.250 0.250 0.250
Be 0.750 0.750 0.750
Ir 0.500 0.500 0.500



Run x
MnBe2Ir | PBE-GGA | relaxed

space-group type: No. 12
density: 9.94 g/cm³
Fermi-level density of states: 0.64 states/eV per atom

a b c (Å): 4.434 4.434 2.612
angles (deg): 102.41 102.41 111.17
Element x y z (fractional)
Mn 0.000 0.000 0.000
Be 0.000 0.500 0.500
Be 0.500 0.000 0.500
Ir 0.500 0.500 0.000



Run y
MnBe2Ir | PBE-GGA | relaxed

space-group type: No. 122
density: 9.41 g/cm³
Fermi-level density of states: 0.72 states/eV per atom

a b c (Å): 4.985 4.985 4.985
angles (deg): 105.13 105.13 118.55
Element x y z (fractional)
Mn 0.000 0.000 0.000
Mn 0.750 0.250 0.500
Be 0.128 0.125 0.503
Be 0.375 0.872 0.997
Be 0.622 0.625 0.497
Be 0.875 0.378 0.003
Ir 0.250 0.750 0.500
Ir 0.500 0.500 0.000



Run z
MnBe2Ir | PBE-GGA | relaxed

space-group type: No. 119
density: 10.11 g/cm³
Fermi-level density of states: 0.73 states/eV per atom

a b c (Å): 4.327 4.327 4.327
angles (deg): 132.23 132.23 69.87
Element x y z (fractional)
Mn 0.000 0.000 0.000
Be 0.250 0.750 0.500
Be 0.500 0.500 0.000
Ir 0.750 0.250 0.500



Relative energies, unit kJ/mol of atoms: run w 0.0; run x 33.0; run y 61.1; run z 24.4



Run w
MnBe2Ir | PBE-GGA | relaxed

space-group type: No. 99
density: 10.73 g/cm³
Fermi-level density of states: 0.30 states/eV per atom

a b c (Å): 2.723 2.723 5.534
angles (deg): 90.00 90.00 90.00
Element x y z (fractional)
Mn 0.000 0.000 0.000
Be 0.000 0.000 0.440
Be 0.500 0.500 0.243
Ir 0.500 0.500 0.705



Run x
MnBe2Ir | PBE-GGA | relaxed

space-group type: No. 10
density: 9.97 g/cm³
Fermi-level density of states: 0.72 states/eV per atom

a b c (Å): 2.602 3.685 4.647
angles (deg): 90.00 97.24 90.00
Element x y z (fractional)
Mn 0.000 0.000 0.000
Be 0.284 0.500 0.759
Be 0.716 0.500 0.241
Ir 0.500 0.000 0.500



Relative energies, unit kJ/mol of atoms: run w 0.0; run x 15.6



Run w
MnBe2Ir | PBE-GGA | relaxed

space-group type: No. 47
density: 9.86 g/cm³
Fermi-level density of states: 0.23 states/eV per atom

a b c (Å): 2.958 3.664 4.120
angles (deg): 90.00 90.00 90.00
Element x y z (fractional)
Mn 0.000 0.000 0.000
Be 0.000 0.500 0.500
Be 0.500 0.500 0.000
Ir 0.500 0.000 0.500



Run x
MnBe2Ir | PBE-GGA | relaxed

space-group type: No. 8
density: 10.36 g/cm³
Fermi-level density of states: 0.55 states/eV per atom

a b c (Å): 4.569 4.569 3.870
angles (deg): 113.66 113.66 35.47
Element x y z (fractional)
Mn 0.000 0.000 0.000
Be 0.248 0.248 0.778
Be 0.523 0.523 0.520
Ir 0.768 0.768 0.298



Relative energies, unit kJ/mol of atoms: run w 5.1; run x 0.0



Run w
MnBe2Ir | PBE-GGA | relaxed

space-group type: No. 65
density: 9.86 g/cm³
Fermi-level density of states: 0.70 states/eV per atom

a b c (Å): 2.584 2.584 7.325
angles (deg): 90.00 90.00 114.08
Element x y z (fractional)
Mn 0.000 0.000 0.000
Be 0.500 0.500 0.247
Be 0.500 0.500 0.753
Ir 0.000 0.000 0.500



Run x
MnBe2Ir | PBE-GGA | relaxed

space-group type: No. 123
density: 10.34 g/cm³
Fermi-level density of states: 0.49 states/eV per atom

a b c (Å): 3.867 3.867 2.848
angles (deg): 90.00 90.00 90.00
Element x y z (fractional)
Mn 0.000 0.000 0.000
Be 0.000 0.500 0.500
Be 0.500 0.000 0.500
Ir 0.500 0.500 0.000



Relative energies, unit kJ/mol of atoms: run w 33.2; run x 0.0



Run w
MnBe2Ir | PBE-GGA | relaxed

space-group type: No. 166
density: 9.82 g/cm³
Fermi-level density of states: 0.97 states/eV per atom

a b c (Å): 7.541 7.541 7.541
angles (deg): 20.22 20.22 20.22
Element x y z (fractional)
Mn 0.000 0.000 0.000
Be 0.250 0.250 0.250
Be 0.750 0.750 0.750
Ir 0.500 0.500 0.500



Run x
MnBe2Ir | PBE-GGA | relaxed

space-group type: No. 38
density: 10.32 g/cm³
Fermi-level density of states: 0.42 states/eV per atom

a b c (Å): 3.557 4.491 4.491
angles (deg): 36.52 90.00 90.00
Element x y z (fractional)
Mn 0.000 0.000 0.000
Be 0.000 0.726 0.726
Be 0.500 0.583 0.583
Ir 0.500 0.304 0.304



Relative energies, unit kJ/mol of atoms: run w 34.1; run x 0.0